[1]
RbAg2Sb2Se6 PBE-GGA optimized geometry; electronic total energy = -38.62 eV per formula unit; formation energy from raw total energies = -2.80 eV/f.u.; total moment = 0.000 μB per cell
1.0
7.0602 0.0000 0.0000
0.0243 7.3793 0.0000
3.5118 0.2664 7.8312
Rb Ag Sb Se
1 2 2 6
direct
0.0000 0.0000 0.0000
0.3507 0.4637 0.2943
0.6493 0.5363 0.7057
0.2935 0.9538 0.4131
0.7065 0.0462 0.5869
0.0646 0.2153 0.3490
0.4152 0.7849 0.6513
0.4274 0.7720 0.1444
0.5726 0.2280 0.8556
0.5848 0.2151 0.3487
0.9354 0.7847 0.6510


[2]
RbNiH3 PBE-GGA optimized geometry; electronic total energy = -16.83 eV per formula unit; total moment = 0.000 μB per cell
1.0
2.8677 1.6556 4.1635
-2.8677 1.6556 4.1635
0.0000 -3.3113 4.1635
Rb Ni H
2 2 6
direct
0.0000 0.0000 0.0000
0.2566 0.2566 0.2566
0.5360 0.5360 0.5360
0.7396 0.7396 0.7396
0.1397 0.6374 0.6374
0.5384 0.5384 0.8340
0.5384 0.8340 0.5384
0.6374 0.1397 0.6374
0.6374 0.6374 0.1397
0.8340 0.5384 0.5384